# BeCu2Os (PBE-GGA, relaxed)
data_BeCu2Os
_cell_length_a 3.405
_cell_length_b 3.405
_cell_length_c 3.999
_cell_angle_alpha 90.00
_cell_angle_beta 90.00
_cell_angle_gamma 90.00
_space_group_name_H-M_alt 'P 4/m m m'
_space_group_IT_number 123
_space_group_name_Hall '-P 4 2'
loop_
_atom_site_label
_atom_site_fract_x
_atom_site_fract_y
_atom_site_fract_z
_atom_site_occupancy
Be1 0.000 0.000 0.000 1
Cu1 0.000 0.500 0.500 1
Os1 0.500 0.500 0.000 1
# energy of formation = 120.8 meV/atom
# electronic total energy = -22.665 eV/cell

# Sr2ZnNiH (PBE-GGA, relaxed)
data_Sr2ZnNiH
_cell_length_a 5.392
_cell_length_b 5.392
_cell_length_c 3.645
_cell_angle_alpha 90.00
_cell_angle_beta 90.00
_cell_angle_gamma 90.00
_space_group_name_H-M_alt 'P 4/m m m'
_space_group_IT_number 123
_space_group_name_Hall '-P 4 2'
loop_
_atom_site_label
_atom_site_fract_x
_atom_site_fract_y
_atom_site_fract_z
_atom_site_occupancy
Sr1 0.000 0.500 0.000 1
Zn1 0.000 0.000 0.500 1
Ni1 0.500 0.500 0.500 1
H1 0.500 0.500 0.000 1
# electronic total energy = -14.465 eV/cell

# AlReAs (PBE-GGA, relaxed)
data_AlReAs
_cell_length_a 3.0637
_cell_length_b 3.0637
_cell_length_c 5.9408
_cell_angle_alpha 90.00
_cell_angle_beta 90.00
_cell_angle_gamma 120.00
_space_group_name_H-M_alt 'P 3 m 1'
_space_group_IT_number 156
loop_
_space_group_symop_operation_xyz
'x,y,z'
'-y,x-y,z'
'-x+y,-x,z'
'-y,-x,z'
'-x+y,y,z'
'x,x-y,z'
loop_
_atom_site_label
_atom_site_fract_x
_atom_site_fract_y
_atom_site_fract_z
_atom_site_occupancy
Al1 0.0000 0.0000 0.0000 1
Re1 0.3333 0.6667 0.6711 1
As1 0.6667 0.3333 0.3716 1
# energy of formation = -29.5 meV/atom
# electronic total energy = -20.929 eV/cell
# distance to the lowest polymorph of the same formula = 0 meV/atom

# HoSb2Pb (PBE-GGA, relaxed)
data_HoSb2Pb
_cell_length_a 4.117
_cell_length_b 4.117
_cell_length_c 6.659
_cell_angle_alpha 90.00
_cell_angle_beta 90.00
_cell_angle_gamma 90.00
_space_group_name_H-M_alt 'P 4/m m m'
_space_group_IT_number 123
_space_group_name_Hall '-P 4 2'
loop_
_atom_site_label
_atom_site_fract_x
_atom_site_fract_y
_atom_site_fract_z
_atom_site_occupancy
Ho1 0.000 0.000 0.000 1
Sb1 0.500 0.500 0.228 1
Pb1 0.000 0.000 0.500 1
# electronic total energy = -18.274 eV/cell
# distance to the lowest polymorph of the same formula = 0 meV/atom
# uncorrected formation energy = -0.436 eV/atom

# Y4Al12Pd (PBE-GGA, relaxed)
data_Y4Al12Pd
_cell_length_a 8.665
_cell_length_b 8.665
_cell_length_c 8.665
_cell_angle_alpha 90.00
_cell_angle_beta 90.00
_cell_angle_gamma 90.00
_space_group_name_H-M_alt 'I m -3 m'
_space_group_IT_number 229
_space_group_name_Hall '-I 4 2 3'
loop_
_atom_site_label
_atom_site_fract_x
_atom_site_fract_y
_atom_site_fract_z
_atom_site_occupancy
Y1 0.250 0.250 0.250 1
Al1 0.000 0.000 0.293 1
Al2 0.000 0.250 0.500 1
Pd1 0.000 0.000 0.000 1
# energy of formation = -541.4 meV/atom
# electronic total energy = -170.328 eV/cell

# TbSc2P (PBE-GGA, relaxed)
data_TbSc2P
_cell_length_a 3.835
_cell_length_b 11.139
_cell_length_c 8.372
_cell_angle_alpha 90.00
_cell_angle_beta 90.00
_cell_angle_gamma 90.00
_space_group_name_H-M_alt 'C m c m'
_space_group_IT_number 63
_space_group_name_Hall '-C 2c 2'
loop_
_atom_site_label
_atom_site_fract_x
_atom_site_fract_y
_atom_site_fract_z
_atom_site_occupancy
Tb1 0.000 0.062 0.250 1
Sc1 0.000 0.353 0.055 1
P1 0.000 0.240 0.750 1
# energy of formation = -782.2 meV/atom
# electronic total energy = -103.328 eV/cell
# distance to the lowest polymorph of the same formula = 0 meV/atom

# Hf3ThN (PBE-GGA, relaxed)
data_Hf3ThN
_cell_length_a 4.627
_cell_length_b 4.627
_cell_length_c 4.627
_cell_angle_alpha 90.00
_cell_angle_beta 90.00
_cell_angle_gamma 90.00
_space_group_name_H-M_alt 'P m -3 m'
_space_group_IT_number 221
_space_group_name_Hall '-P 4 2 3'
loop_
_atom_site_label
_atom_site_fract_x
_atom_site_fract_y
_atom_site_fract_z
_atom_site_occupancy
Hf1 0.000 0.000 0.500 1
Th1 0.500 0.500 0.500 1
N1 0.000 0.000 0.000 1
# electronic total energy = -47.983 eV/cell
# uncorrected formation energy = -0.476 eV/atom

# Ce2MgGe2Ir5 (PBE-GGA, relaxed)
data_Ce2MgGe2Ir5
_cell_length_a 9.827
_cell_length_b 9.827
_cell_length_c 3.713
_cell_angle_alpha 90.00
_cell_angle_beta 90.00
_cell_angle_gamma 90.00
_space_group_name_H-M_alt 'P 4/m b m'
_space_group_IT_number 127
_space_group_name_Hall '-P 4 2ab'
loop_
_atom_site_label
_atom_site_fract_x
_atom_site_fract_y
_atom_site_fract_z
_atom_site_occupancy
Ce1 0.176 0.324 0.000 1
Mg1 0.000 0.000 0.000 1
Ge1 0.124 0.624 0.000 1
Ir1 0.000 0.500 0.500 1
Ir2 0.067 0.788 0.500 1
# energy of formation = -517.4 meV/atom
# electronic total energy = -144.352 eV/cell

Ordered spin magnetization results: 0.000; 0.000; 0.000; 0.000; 0.000; 0.000; 0.000; 0.071; unit μB/atom.
Ordered Fermi-level density of states results: 0.297; 0.511; 0.539; 0.771; 0.162; 1.373; 0.997; 0.919; unit states/eV/atom.
Ordered calculated volume results: 46.4; 106.0; 48.3; 112.9; 650.6; 357.6; 99.0; 358.6; unit Å³/cell.